Entry from Alexandria: crystalline HfZr at its relaxed geometry (PBE).

abc: 4.1012 4.1012 4.1012
angles: 60.00 60.00 60.00
Element x y z (fractional)
Hf 0.0000 0.0000 0.0000
Zr 0.5000 0.5000 0.5000

Results
ΔH_f (0 K): 1.90 eV per formula unit
energy: -8.300 eV/atom
D(E_F): 1.90 states/eV/f.u.
crystal system: cubic
total moment: 0.0 μB/f.u.

Entry from Alexandria: crystalline Hf5Zr at its relaxed geometry (PBE).

abc: 5.5025 5.5025 6.3637
angles: 106.77 106.77 47.74
Element x y z (fractional)
Hf 0.0000 0.0000 0.0000
Hf 0.3312 0.3312 0.1626
Hf 0.3332 0.3332 0.6695
Hf 0.6668 0.6668 0.3305
Hf 0.6688 0.6688 0.8374
Zr 0.0000 0.0000 0.5000

Results
ΔH_f (0 K): 0.41 eV per formula unit
energy: -9.651 eV/atom
D(E_F): 9.45 states/eV/f.u.
crystal system: monoclinic
total moment: 0.0 μB/f.u.

Entry from Alexandria: crystalline HfZr at its relaxed geometry (PBE).

abc: 6.1462 6.1462 4.8946
angles: 90.00 90.00 150.63
Element x y z (fractional)
Hf 0.1833 0.8167 0.7500
Hf 0.8167 0.1833 0.2500
Zr 0.4343 0.5657 0.7500
Zr 0.5657 0.4343 0.2500

Results
ΔH_f (0 K): 0.02 eV per formula unit
energy: -9.243 eV/atom
D(E_F): 1.62 states/eV/f.u.
crystal system: orthorhombic
total moment: 0.0 μB/f.u.

Entry from Alexandria: crystalline HfZr at its relaxed geometry (PBE).

abc: 3.2153 5.1085 5.5739
angles: 90.00 90.00 90.00
Element x y z (fractional)
Hf 0.2500 0.2500 0.0812
Hf 0.7500 0.7500 0.9188
Zr 0.2500 0.7500 0.4154
Zr 0.7500 0.2500 0.5846

Results
ΔH_f (0 K): 0.00 eV per formula unit
energy: -9.249 eV/atom
D(E_F): 1.41 states/eV/f.u.
crystal system: orthorhombic
total moment: 0.0 μB/f.u.

Entry from Alexandria: crystalline HfZr7 at its relaxed geometry (PBE).

abc: 7.8963 7.8963 7.8963
angles: 157.11 102.04 82.54
Element x y z (fractional)
Hf 0.0000 0.0000 0.0000
Zr 0.1319 0.3740 0.7578
Zr 0.2440 0.7440 0.5000
Zr 0.3838 0.6260 0.7578
Zr 0.5000 0.0000 0.5000
Zr 0.6162 0.3740 0.2422
Zr 0.7560 0.2560 0.5000
Zr 0.8681 0.6260 0.2422

Results
ΔH_f (0 K): 0.15 eV per formula unit
energy: -8.705 eV/atom
D(E_F): 8.39 states/eV/f.u.
crystal system: orthorhombic
total moment: 0.0 μB/f.u.

Entry from Alexandria: crystalline Hf5Zr7 at its relaxed geometry (PBE).

abc: 5.0567 5.0567 12.9608
angles: 102.10 102.10 59.97
Element x y z (fractional)
Hf 0.0000 0.0000 0.0000
Hf 0.1463 0.1463 0.4420
Hf 0.3934 0.3934 0.1989
Hf 0.6066 0.6066 0.8011
Hf 0.8537 0.8537 0.5580
Zr 0.0647 0.0647 0.2151
Zr 0.2291 0.2291 0.6763
Zr 0.3121 0.3121 0.9204
Zr 0.5000 0.5000 0.5000
Zr 0.6879 0.6879 0.0796
Zr 0.7709 0.7709 0.3237
Zr 0.9353 0.9353 0.7849

Results
ΔH_f (0 K): 2.63 eV per formula unit
energy: -8.914 eV/atom
D(E_F): 17.69 states/eV/f.u.
crystal system: monoclinic
total moment: 0.0 μB/f.u.

Entry from Alexandria: crystalline HfZr at its relaxed geometry (PBE).

abc: 8.0420 8.0420 8.0420
angles: 92.10 92.10 157.92
Element x y z (fractional)
Hf 0.0922 0.8303 0.9225
Hf 0.1697 0.0922 0.2619
Hf 0.8303 0.9078 0.7381
Hf 0.9078 0.1697 0.0775
Zr 0.0962 0.3525 0.4486
Zr 0.3525 0.9038 0.2563
Zr 0.6475 0.0962 0.7437
Zr 0.9038 0.6475 0.5514

Results
ΔH_f (0 K): 0.69 eV per formula unit
energy: -8.908 eV/atom
D(E_F): 1.49 states/eV/f.u.
crystal system: tetragonal
total moment: 0.0 μB/f.u.

Entry from Alexandria: crystalline Hf4Zr3 at its relaxed geometry (PBE).

abc: 11.5254 11.5254 11.5254
angles: 164.12 157.65 27.54
Element x y z (fractional)
Hf 0.0712 0.0712 0.0000
Hf 0.2151 0.2151 0.0000
Hf 0.7849 0.7849 0.0000
Hf 0.9288 0.9288 0.0000
Zr 0.3566 0.3566 0.0000
Zr 0.5000 0.5000 0.0000
Zr 0.6434 0.6434 0.0000

Results
ΔH_f (0 K): 0.42 eV per formula unit
energy: -9.292 eV/atom
D(E_F): 10.62 states/eV/f.u.
crystal system: orthorhombic
total moment: 0.0 μB/f.u.

Entry from Alexandria: crystalline Hf4Zr3 at its relaxed geometry (PBE).

abc: 8.5047 8.5047 5.1028
angles: 90.00 90.00 120.00
Element x y z (fractional)
Hf 0.0967 0.6167 0.2500
Hf 0.3333 0.6667 0.7500
Hf 0.3833 0.4800 0.2500
Hf 0.4800 0.0967 0.7500
Hf 0.5200 0.9033 0.2500
Hf 0.6167 0.5200 0.7500
Hf 0.6667 0.3333 0.2500
Hf 0.9033 0.3833 0.7500
Zr 0.0490 0.8080 0.7500
Zr 0.1920 0.2410 0.7500
Zr 0.2410 0.0490 0.2500
Zr 0.7590 0.9510 0.7500
Zr 0.8080 0.7590 0.2500
Zr 0.9510 0.1920 0.2500

Results
ΔH_f (0 K): 0.00 eV per formula unit
energy: -9.351 eV/atom
D(E_F): 5.21 states/eV/f.u.
crystal system: hexagonal
total moment: 0.0 μB/f.u.

Entry from Alexandria: crystalline HfZr at its relaxed geometry (PBE).

abc: 6.3487 6.3487 6.3487
angles: 119.63 119.63 90.64
Element x y z (fractional)
Hf 0.0000 0.0000 0.0000
Hf 0.0000 0.0000 0.5000
Hf 0.0000 0.5000 0.0000
Hf 0.5000 0.0000 0.5000
Zr 0.0000 0.5000 0.5000
Zr 0.5000 0.0000 0.0000
Zr 0.5000 0.5000 0.0000
Zr 0.5000 0.5000 0.5000

Results
ΔH_f (0 K): 0.12 eV per formula unit
energy: -9.189 eV/atom
D(E_F): 2.99 states/eV/f.u.
crystal system: tetragonal
total moment: 0.0 μB/f.u.

Entry from Alexandria: crystalline Hf7Zr at its relaxed geometry (PBE).

abc: 7.8253 7.8253 7.8253
angles: 156.99 102.18 82.45
Element x y z (fractional)
Hf 0.0000 0.0000 0.0000
Hf 0.1040 0.3709 0.7331
Hf 0.2557 0.2557 0.0000
Hf 0.3622 0.6291 0.7331
Hf 0.6378 0.3709 0.2669
Hf 0.7443 0.7443 0.0000
Hf 0.8960 0.6291 0.2669
Zr 0.5000 0.0000 0.5000

Results
ΔH_f (0 K): 0.35 eV per formula unit
energy: -9.734 eV/atom
D(E_F): 7.54 states/eV/f.u.
crystal system: orthorhombic
total moment: 0.0 μB/f.u.

Entry from Alexandria: crystalline Hg at its relaxed geometry (PBE).

abc: 8.7856 8.7856 8.7856
angles: 109.47 109.47 109.47
Element x y z (fractional)
Hg 0.0000 0.0000 0.2408
Hg 0.0000 0.0000 0.6052
Hg 0.0000 0.2408 0.0000
Hg 0.0000 0.6052 0.0000
Hg 0.2408 0.0000 0.0000
Hg 0.3948 0.3948 0.3948
Hg 0.6052 0.0000 0.0000
Hg 0.7592 0.7592 0.7592

Results
ΔH_f (0 K): 0.08 eV per formula unit
energy: -0.224 eV/atom
crystal system: cubic
total moment: 0.0 μB/f.u.

Entry from Alexandria: crystalline Hg at its relaxed geometry (PBE).

abc: 5.0715 5.0715 5.0715
angles: 60.00 60.00 60.00
Element x y z (fractional)
Hg 0.1250 0.1250 0.1250
Hg 0.8750 0.8750 0.8750

Results
ΔH_f (0 K): 0.09 eV per formula unit
energy: -0.209 eV/atom
D(E_F): 0.31 states/eV/f.u.
crystal system: cubic
total moment: 0.0 μB/f.u.

Entry from Alexandria: crystalline Hg at its relaxed geometry (PBE).

abc: 3.2690 5.5984 6.5223
angles: 87.49 76.29 85.10
Element x y z (fractional)
Hg 0.1596 0.2440 0.1312
Hg 0.3212 0.2528 0.6207
Hg 0.6788 0.7472 0.3793
Hg 0.8404 0.7560 0.8688

Results
ΔH_f (0 K): 0.00 eV per formula unit
energy: -0.297 eV/atom
D(E_F): 0.09 states/eV/f.u.
crystal system: triclinic
total moment: 0.0 μB/f.u.

Entry from Alexandria: crystalline Hg at its relaxed geometry (PBE).

abc: 3.3712 3.3712 5.4152
angles: 94.25 94.25 66.03
Element x y z (fractional)
Hg 0.2255 0.2255 0.2491
Hg 0.7745 0.7745 0.7509

Results
ΔH_f (0 K): 0.00 eV per formula unit
energy: -0.299 eV/atom
D(E_F): 0.17 states/eV/f.u.
crystal system: monoclinic
total moment: 0.0 μB/f.u.

Entry from Alexandria: crystalline Hg at its relaxed geometry (PBE).

abc: 3.5353 3.5353 8.4659
angles: 101.98 101.98 61.37
Element x y z (fractional)
Hg 0.0000 0.0000 0.0000
Hg 0.2309 0.2309 0.6643
Hg 0.7691 0.7691 0.3357

Results
ΔH_f (0 K): 0.00 eV per formula unit
energy: -0.300 eV/atom
D(E_F): 0.12 states/eV/f.u.
crystal system: monoclinic
total moment: 0.0 μB/f.u.

Entry from Alexandria: crystalline Hg at its relaxed geometry (PBE).

abc: 5.3849 5.3849 3.1619
angles: 90.00 90.00 120.00
Element x y z (fractional)
Hg 0.3333 0.6667 0.0000
Hg 0.6667 0.3333 0.0000

Results
ΔH_f (0 K): 0.07 eV per formula unit
energy: -0.228 eV/atom
D(E_F): 0.30 states/eV/f.u.
crystal system: hexagonal
total moment: 0.0 μB/f.u.

Entry from Alexandria: crystalline Hg at its relaxed geometry (PBE).

abc: 3.0317 3.1193 3.3004
angles: 63.55 89.85 89.49
Element x y z (fractional)
Hg 0.0000 0.0000 0.0000

Results
ΔH_f (0 K): 0.01 eV per formula unit
energy: -0.294 eV/atom
D(E_F): 0.19 states/eV/f.u.
crystal system: triclinic
total moment: 0.0 μB/f.u.

Entry from Alexandria: crystalline Hg at its relaxed geometry (PBE).

abc: 4.4977 4.4977 4.4977
angles: 97.46 97.46 137.75
Element x y z (fractional)
Hg 0.3750 0.6250 0.7500
Hg 0.6250 0.3750 0.2500

Results
ΔH_f (0 K): 0.02 eV per formula unit
energy: -0.285 eV/atom
D(E_F): 0.30 states/eV/f.u.
crystal system: tetragonal
total moment: 0.0 μB/f.u.

Entry from Alexandria: crystalline Hg at its relaxed geometry (PBE).

abc: 6.2300 6.2300 6.2300
angles: 90.00 90.00 90.00
Element x y z (fractional)
Hg 0.0000 0.0000 0.0000
Hg 0.0000 0.2500 0.5000
Hg 0.0000 0.7500 0.5000
Hg 0.2500 0.5000 0.0000
Hg 0.5000 0.0000 0.2500
Hg 0.5000 0.0000 0.7500
Hg 0.5000 0.5000 0.5000
Hg 0.7500 0.5000 0.0000

Results
ΔH_f (0 K): 0.01 eV per formula unit
energy: -0.293 eV/atom
crystal system: cubic
total moment: 0.0 μB/f.u.

Entry from Alexandria: crystalline Hg at its relaxed geometry (PBE).

abc: 8.5127 8.5127 8.5127
angles: 92.09 92.09 158.00
Element x y z (fractional)
Hg 0.1070 0.6341 0.7411
Hg 0.3659 0.1070 0.4729
Hg 0.3676 0.6271 0.9948
Hg 0.3729 0.3676 0.7405
Hg 0.6271 0.6324 0.2595
Hg 0.6324 0.3729 0.0052
Hg 0.6341 0.8930 0.5271
Hg 0.8930 0.3659 0.2589

Results
ΔH_f (0 K): 0.02 eV per formula unit
energy: -0.283 eV/atom
D(E_F): 0.25 states/eV/f.u.
crystal system: tetragonal
total moment: 0.0 μB/f.u.

Entry from Alexandria: crystalline Hg at its relaxed geometry (PBE).

abc: 6.4493 6.1352 3.2313
angles: 80.58 69.80 29.62
Element x y z (fractional)
Hg 0.1315 0.1315 0.8685
Hg 0.8685 0.8685 0.1315

Results
ΔH_f (0 K): 0.01 eV per formula unit
energy: -0.290 eV/atom
D(E_F): 0.20 states/eV/f.u.
crystal system: orthorhombic
total moment: 0.0 μB/f.u.

Entry from Alexandria: crystalline Hg at its relaxed geometry (PBE).

abc: 9.1134 9.1134 5.3887
angles: 90.00 90.00 120.00
Element x y z (fractional)
Hg 0.0987 0.8378 0.2500
Hg 0.1021 0.5960 0.7500
Hg 0.1622 0.2609 0.2500
Hg 0.2609 0.0987 0.7500
Hg 0.4040 0.5061 0.7500
Hg 0.4939 0.8979 0.7500
Hg 0.5061 0.1021 0.2500
Hg 0.5960 0.4939 0.2500
Hg 0.7391 0.9013 0.2500
Hg 0.8378 0.7391 0.7500
Hg 0.8979 0.4040 0.2500
Hg 0.9013 0.1622 0.7500

Results
ΔH_f (0 K): 0.01 eV per formula unit
energy: -0.289 eV/atom
D(E_F): 0.08 states/eV/f.u.
crystal system: hexagonal
total moment: 0.0 μB/f.u.

Entry from Alexandria: crystalline Hg at its relaxed geometry (PBE).

abc: 3.0881 3.0881 3.0881
angles: 86.46 86.46 86.46
Element x y z (fractional)
Hg 0.0000 0.0000 0.0000

Results
ΔH_f (0 K): 0.01 eV per formula unit
energy: -0.291 eV/atom
D(E_F): 0.10 states/eV/f.u.
crystal system: trigonal
total moment: 0.0 μB/f.u.